1.
PBE K2LiHCl, relaxed; E = -2.338 eV per atom; total moment = 0.0 μB/f.u.; Fermi-level density of states = 0.341 states/eV per atom; V = 27.47 Å³ per atom; theoretical density = 1470 kg/m³
1.0
6.216 0.000 0.000
0.000 6.216 0.000
0.000 0.000 3.555
K Li H Cl
2 1 1 1
Cartesian
0.000 3.108 0.000
3.108 0.000 0.000
0.000 0.000 0.000
0.000 0.000 1.777
3.108 3.108 1.777

***

2.
PBE PmNdTe2Se, relaxed; total moment = 0.0 μB/f.u.; uncorrected formation energy = -1.441 eV/atom; Fermi-level density of states = 0.365 states/eV per atom; V = 30.97 Å³ per atom; theoretical density = 6685 kg/m³
1.0
4.418 0.000 0.000
0.000 4.418 0.000
0.000 0.000 15.870
Pm Nd Te Se
2 2 4 2
Cartesian
1.104 1.104 2.042
3.313 3.313 13.829
1.104 1.104 9.408
3.313 3.313 6.462
1.104 1.104 6.154
1.104 1.104 12.617
3.313 3.313 3.253
3.313 3.313 9.716
1.104 3.313 0.000
3.313 1.104 0.000

***

Copy entry 2 word for word.
PBE PmNdTe2Se, relaxed; total moment = 0.0 μB/f.u.; uncorrected formation energy = -1.441 eV/atom; Fermi-level density of states = 0.365 states/eV per atom; V = 30.97 Å³ per atom; theoretical density = 6685 kg/m³
1.0
4.418 0.000 0.000
0.000 4.418 0.000
0.000 0.000 15.870
Pm Nd Te Se
2 2 4 2
Cartesian
1.104 1.104 2.042
3.313 3.313 13.829
1.104 1.104 9.408
3.313 3.313 6.462
1.104 1.104 6.154
1.104 1.104 12.617
3.313 3.313 3.253
3.313 3.313 9.716
1.104 3.313 0.000
3.313 1.104 0.000

***

> The lowest V belongs to which entry?

K2LiHCl